Entry from the Alexandria database: a relaxed La3PrDy8 crystal (GGA-PBE).

Energy of formation, eV/atom: 0.594
Total magnetic moment, μB/f.u.: 0.0

Cell: 8.431 8.431 8.431 Å, 95.48 116.88 116.89°
Positions (direct):
La  0.500  0.750  0.250
La  0.500  0.250  0.750
La  0.000  0.500  0.500
Pr  0.000  0.000  0.000
Dy  0.504  0.255  0.255
Dy  0.496  0.751  0.751
Dy  0.000  0.745  0.249
Dy  0.000  0.249  0.745
Dy  0.247  0.375  0.375
Dy  0.753  0.127  0.127
Dy  0.000  0.625  0.873
Dy  0.000  0.873  0.625

***

Entry from the Alexandria database: a relaxed BaLa2Br6 crystal (GGA-PBE).

Total magnetic moment, μB/f.u.: 0.0
Energy, eV per formula unit: -38.7

Cell: 7.156 9.940 9.940 Å, 62.45 75.22 75.22°
Positions (direct):
Ba  0.250  0.280  0.720
Ba  0.750  0.720  0.280
La  0.982  0.761  0.747
La  0.518  0.253  0.239
La  0.018  0.239  0.253
La  0.482  0.747  0.761
Br  0.338  0.666  0.539
Br  0.162  0.461  0.334
Br  0.662  0.334  0.461
Br  0.838  0.539  0.666
Br  0.781  0.949  0.443
Br  0.719  0.557  0.051
Br  0.219  0.051  0.557
Br  0.281  0.443  0.949
Br  0.120  0.820  0.977
Br  0.380  0.023  0.180
Br  0.880  0.180  0.023
Br  0.620  0.977  0.820

***

Entry from the Alexandria database: a relaxed ZrU2Rh9 crystal (GGA-PBE).

Energy of formation, eV/atom: -0.690
Total magnetic moment, μB/f.u.: 0.0

Cell: 4.005 4.005 11.984 Å, 90.00 90.00 90.00°
Positions (direct):
Zr  0.000  0.000  0.000
U  0.000  0.000  0.330
U  0.000  0.000  0.670
Rh  0.500  0.500  0.000
Rh  0.500  0.500  0.333
Rh  0.500  0.500  0.667
Rh  0.500  0.000  0.168
Rh  0.500  0.000  0.500
Rh  0.500  0.000  0.832
Rh  0.000  0.500  0.168
Rh  0.000  0.500  0.500
Rh  0.000  0.500  0.832